Model a:
Sn2HgMo2 | PBE-GGA | relaxed

ρ in g cm⁻³: 10.45
Space-group type: P4/mbm, No. 127

a b c (Å): 7.392 7.392 3.664
angles (deg): 90.00 90.00 90.00
Fractional positions:
Sn (0.156, 0.344, 0.000)
Sn (0.344, 0.844, 0.000)
Sn (0.656, 0.156, 0.000)
Sn (0.844, 0.656, 0.000)
Hg (0.000, 0.000, 0.500)
Hg (0.500, 0.500, 0.500)
Mo (0.137, 0.637, 0.500)
Mo (0.363, 0.137, 0.500)
Mo (0.637, 0.863, 0.500)
Mo (0.863, 0.363, 0.500)


Model b:
Sn2HgMo2 | PBE-GGA | relaxed

ρ in g cm⁻³: 9.77
Space-group type: I4/mmm, No. 139

a b c (Å): 4.051 4.051 13.043
angles (deg): 90.00 90.00 90.00
Fractional positions:
Sn (0.000, 0.500, 0.250)
Sn (0.000, 0.500, 0.750)
Sn (0.500, 0.000, 0.250)
Sn (0.500, 0.000, 0.750)
Hg (0.000, 0.000, 0.000)
Hg (0.500, 0.500, 0.500)
Mo (0.000, 0.000, 0.408)
Mo (0.000, 0.000, 0.592)
Mo (0.500, 0.500, 0.092)
Mo (0.500, 0.500, 0.908)


Pick model a: it beats the second-best structure by 31.7 kJ/mol of atoms.